# CsVGaF (PBE+U, relaxed)
# - final energy (eV per atom) = -3.974
# - calculated density (Mg/m³) = 4.74
# - V (Å³/atom) = 23.85
data_CsVGaF
_chemical_formula_sum 'Cs2 V2 Ga2 F2'
_cell_length_a 3.298
_cell_length_b 3.941
_cell_length_c 14.682
_cell_angle_alpha 90.00
_cell_angle_beta 90.00
_cell_angle_gamma 90.00
_space_group_name_H-M_alt 'A m m 2'
_space_group_IT_number 38
_space_group_name_Hall 'A 2 -2'
loop_
_atom_site_label
_atom_site_type_symbol
_atom_site_fract_x
_atom_site_fract_y
_atom_site_fract_z
Cs1 Cs 0.000 0.000 0.000
V1 V 0.000 0.000 0.717
Ga1 Ga 0.500 0.000 0.298
F1 F 0.500 0.000 0.614



# CsVGaF6 (PBE+U, relaxed)
# - final energy (eV per atom) = -5.247
# - calculated density (Mg/m³) = 3.60
# - V (Å³/atom) = 18.81
data_CsVGaF6
_chemical_formula_sum 'Cs2 V2 Ga2 F12'
_cell_length_a 5.482
_cell_length_b 9.538
_cell_length_c 6.476
_cell_angle_alpha 90.00
_cell_angle_beta 90.27
_cell_angle_gamma 90.00
_space_group_name_H-M_alt 'C 1 2 1'
_space_group_IT_number 5
_space_group_name_Hall 'C 2y'
loop_
_atom_site_label
_atom_site_type_symbol
_atom_site_fract_x
_atom_site_fract_y
_atom_site_fract_z
Cs1 Cs 0.000 0.000 0.000
V1 V 0.000 0.334 0.500
Ga1 Ga 0.000 0.666 0.500
F1 F 0.119 0.513 0.332
F2 F 0.169 0.803 0.332
F3 F 0.208 0.183 0.333



# Cs2VGaF6 (PBE+U, relaxed)
# - final energy (eV per atom) = -4.984
# - calculated density (Mg/m³) = 4.33
# - V (Å³/atom) = 19.18
data_Cs2VGaF6
_chemical_formula_sum 'Cs4 V2 Ga2 F12'
_cell_length_a 6.474
_cell_length_b 6.474
_cell_length_c 9.150
_cell_angle_alpha 90.00
_cell_angle_beta 90.00
_cell_angle_gamma 90.00
_space_group_name_H-M_alt 'I 4/m m m'
_space_group_IT_number 139
_space_group_name_Hall '-I 4 2'
loop_
_atom_site_label
_atom_site_type_symbol
_atom_site_fract_x
_atom_site_fract_y
_atom_site_fract_z
Cs1 Cs 0.000 0.500 0.250
V1 V 0.000 0.000 0.000
Ga1 Ga 0.000 0.000 0.500
F1 F 0.000 0.000 0.223
F2 F 0.215 0.215 0.000



# CsVGaF (PBE+U, relaxed)
# - final energy (eV per atom) = -4.059
# - calculated density (Mg/m³) = 4.37
# - V (Å³/atom) = 25.89
data_CsVGaF
_chemical_formula_sum 'Cs2 V2 Ga2 F2'
_cell_length_a 3.745
_cell_length_b 3.745
_cell_length_c 14.769
_cell_angle_alpha 90.00
_cell_angle_beta 90.00
_cell_angle_gamma 90.00
_space_group_name_H-M_alt 'I 4 m m'
_space_group_IT_number 107
_space_group_name_Hall 'I 4 -2'
loop_
_atom_site_label
_atom_site_type_symbol
_atom_site_fract_x
_atom_site_fract_y
_atom_site_fract_z
Cs1 Cs 0.000 0.000 0.000
V1 V 0.000 0.000 0.720
Ga1 Ga 0.000 0.000 0.260
F1 F 0.000 0.000 0.580